Entry 1:
LiY2Tm: optimized geometry, PBE.

Geometry as POSCAR:
```
LiY2Tm
1.0
-1.6315 -5.1472 0.8283
3.6957 -3.9970 0.4551
0.8552 -2.3916 4.8363
Y Li Tm
2 1 1
direct
0.7500 0.7500 0.7500
0.2500 0.2500 0.2500
0.0000 0.0000 0.0000
0.5000 0.5000 0.5000
```

Output
Raw total energy   -4.6606 eV/atom
Energy of formation from the pure elements   65 kJ/mol of formula units
Crystal system   cubic
M_tot   0.00 μB per formula unit

Entry 2:
TmSc3B4O12: optimized geometry, PBE.

Geometry as POSCAR:
```
TmSc3B4O12
1.0
6.2401 0.0323 0.0448
-1.4722 6.0640 0.0448
-1.4722 -1.8824 5.7647
Sc O Tm B
3 12 1 4
direct
0.4563 0.0000 0.5437
0.5437 0.4563 0.0000
0.0000 0.5437 0.4563
0.0969 0.9031 0.5000
0.9031 0.5000 0.0969
0.3614 0.9710 0.1886
0.5000 0.3593 0.6407
0.8114 0.0290 0.6386
0.6386 0.8114 0.0290
0.3593 0.6407 0.5000
0.9710 0.1886 0.3614
0.0290 0.6386 0.8114
0.5000 0.0969 0.9031
0.1886 0.3614 0.9710
0.6407 0.5000 0.3593
0.0000 0.0000 0.0000
0.5000 0.5000 0.5000
0.0437 0.5000 0.9563
0.5000 0.9563 0.0437
0.9563 0.0437 0.5000
```

Output
Raw total energy   -8.5154 eV/atom
ΔE_f (raw)   -3.03 eV/atom
Crystal system   trigonal
M_tot   0.00 μB per formula unit

Entry 3:
KSc2Tl: optimized geometry, PBE.

Geometry as POSCAR:
```
KSc2Tl
1.0
5.4488 0.0000 0.0000
2.7244 4.7188 0.0000
2.7244 1.5729 4.4489
Tl K Sc
1 1 2
direct
0.7500 0.7500 0.7500
0.5000 0.5000 0.5000
0.0000 0.0000 0.0000
0.2500 0.2500 0.2500
```

Output
Raw total energy   -3.6068 eV/atom
Energy of formation from the pure elements   164 kJ/mol of formula units
Crystal system   cubic
M_tot   1.48 μB per formula unit

Entry 4:
Tm2HfRh4: optimized geometry, PBE.

Geometry as POSCAR:
```
Tm2HfRh4
1.0
4.3801 0.0000 1.3684
1.9763 3.9089 1.3684
-0.0765 -0.0471 7.9389
Tm Hf Rh
2 1 4
direct
0.2396 0.2396 0.2813
0.7604 0.7604 0.7187
0.0000 0.0000 0.0000
0.6290 0.6290 0.1130
0.1175 0.1175 0.6475
0.8825 0.8825 0.3525
0.3710 0.3710 0.8870
```

Output
Raw total energy   -7.5974 eV/atom
Energy of formation from the pure elements   -471 kJ/mol of formula units
Crystal system   trigonal
M_tot   0.00 μB per formula unit

Entry 5:
Tb2PmNd5Tm: optimized geometry, PBE.

Geometry as POSCAR:
```
Tb2PmNd5Tm
1.0
5.6673 0.0000 0.0000
-2.8336 10.2452 0.0000
0.0000 0.0000 10.7561
Nd Tb Pm Tm
10 4 2 2
direct
0.7033 0.4066 0.2041
0.2804 0.5609 0.3097
0.9842 0.9685 0.5199
0.0158 0.0315 0.0199
0.7196 0.4391 0.8097
0.2967 0.5934 0.7041
0.3891 0.7781 0.0236
0.4815 0.9629 0.7437
0.5185 0.0371 0.2437
0.6109 0.2219 0.5236
0.8889 0.7778 0.2378
0.1157 0.2314 0.3139
0.1111 0.2222 0.7378
0.8843 0.7686 0.8139
0.2004 0.4008 0.0095
0.7996 0.5992 0.5095
0.5915 0.1829 0.9618
0.4085 0.8171 0.4618
```

Output
Raw total energy   -4.5623 eV/atom
Energy of formation from the pure elements   122 kJ/mol of formula units
Crystal system   orthorhombic
M_tot   0.00 μB per formula unit

Entry 6:
KTlSn2Rh: optimized geometry, PBE.

Geometry as POSCAR:
```
KTlSn2Rh
1.0
5.2599 0.0000 0.0000
0.0000 5.2599 0.0000
0.0000 0.0000 5.3766
Sn Rh Tl K
2 1 1 1
direct
0.0000 0.5000 0.0000
0.5000 0.0000 0.0000
0.0000 0.0000 0.0000
0.0000 0.0000 0.5000
0.5000 0.5000 0.5000
```

Output
Raw total energy   -3.8213 eV/atom
Energy of formation from the pure elements   -28 kJ/mol of formula units
Crystal system   tetragonal
M_tot   0.00 μB per formula unit

Entry 7:
Tb4DyHo3: optimized geometry, PBE.

Geometry as POSCAR:
```
Tb4DyHo3
1.0
6.2621 0.0000 0.0000
0.0000 7.2402 0.0000
0.0000 0.0000 11.2217
Ho Tb Dy
6 8 2
direct
0.9807 0.6243 0.2499
0.1479 0.3761 0.5000
0.6479 0.6239 0.0000
0.4807 0.3757 0.2501
0.9807 0.6243 0.7501
0.4807 0.3757 0.7499
0.4810 0.8742 0.7504
0.6482 0.1259 0.0000
0.6474 0.1256 0.5000
0.9810 0.1258 0.7496
0.1482 0.8741 0.5000
0.9810 0.1258 0.2504
0.4810 0.8742 0.2496
0.1474 0.8744 0.0000
0.1483 0.3758 0.0000
0.6483 0.6242 0.5000
```

Output
Raw total energy   -4.5988 eV/atom
Energy of formation from the pure elements   6 kJ/mol of formula units
Crystal system   orthorhombic
M_tot   0.00 μB per formula unit

Entry 8:
PmBeSi2Ru2: optimized geometry, PBE.

Geometry as POSCAR:
```
PmBeSi2Ru2
1.0
-3.2762 -2.6631 0.0566
0.0294 -0.1259 -4.2204
3.3549 -4.1241 0.1463
Si Pm Ru Be
2 1 2 1
direct
0.5000 0.5000 0.2623
0.5000 0.5000 0.7377
0.0000 0.0000 0.5000
0.0000 0.5000 0.0000
0.5000 0.0000 0.0000
0.0000 0.0000 0.0000
```

Output
Raw total energy   -6.9130 eV/atom
ΔE_f (raw)   -0.60 eV/atom
Crystal system   tetragonal
M_tot   0.00 μB per formula unit

> M_tot of number 8 (PmBeSi2Ru2)?

0.00 μB per formula unit